--- 1 ---
# RbMg3Pd PBE optimized geometry
# **Total moment**: 0.00 μB/f.u.
data_RbMg3Pd
_space_group_name_H-M_alt 'P 1'
_space_group_IT_number 1
_space_group_name_Hall 'P 1'
_cell_length_a 6.410
_cell_length_b 6.410
_cell_length_c 6.410
_cell_angle_alpha 90.00
_cell_angle_beta 90.00
_cell_angle_gamma 90.00
loop_
_atom_site_label
_atom_site_type_symbol
_atom_site_fract_x
_atom_site_fract_y
_atom_site_fract_z
_atom_site_occupancy
Mg1 Mg 0.000 0.500 0.000 1
Mg2 Mg 0.000 0.000 0.500 1
Mg3 Mg 0.500 0.000 0.000 1
Rb1 Rb 0.000 0.000 0.000 1
Pd1 Pd 0.500 0.500 0.500 1


--- 2 ---
# RbMg3Pd PBE optimized geometry
# **Total moment**: 0.00 μB/f.u.
data_RbMg3Pd
_space_group_name_H-M_alt 'P 1'
_space_group_IT_number 1
_space_group_name_Hall 'P 1'
_cell_length_a 5.252
_cell_length_b 5.252
_cell_length_c 5.252
_cell_angle_alpha 90.00
_cell_angle_beta 90.00
_cell_angle_gamma 90.00
loop_
_atom_site_label
_atom_site_type_symbol
_atom_site_fract_x
_atom_site_fract_y
_atom_site_fract_z
_atom_site_occupancy
Mg1 Mg 0.000 0.500 0.000 1
Mg2 Mg 0.000 0.000 0.500 1
Mg3 Mg 0.500 0.000 0.000 1
Rb1 Rb 0.500 0.500 0.500 1
Pd1 Pd 0.000 0.000 0.000 1


Which is most stable, and by how much? 2, by 1582 meV per atom.


--- 1 ---
# Mg2Re2Pd PBE optimized geometry
# **Total moment**: 0.00 μB/f.u.
data_Mg2Re2Pd
_space_group_name_H-M_alt 'P 1'
_space_group_IT_number 1
_space_group_name_Hall 'P 1'
_cell_length_a 7.966
_cell_length_b 7.966
_cell_length_c 2.772
_cell_angle_alpha 90.00
_cell_angle_beta 90.00
_cell_angle_gamma 90.00
loop_
_atom_site_label
_atom_site_type_symbol
_atom_site_fract_x
_atom_site_fract_y
_atom_site_fract_z
_atom_site_occupancy
Re1 Re 0.104 0.604 0.500 1
Re2 Re 0.604 0.896 0.500 1
Re3 Re 0.896 0.396 0.500 1
Re4 Re 0.396 0.104 0.500 1
Mg1 Mg 0.312 0.812 0.000 1
Mg2 Mg 0.812 0.688 0.000 1
Mg3 Mg 0.688 0.188 0.000 1
Mg4 Mg 0.188 0.312 0.000 1
Pd1 Pd 0.000 0.000 0.000 1
Pd2 Pd 0.500 0.500 0.000 1


--- 2 ---
# Mg2Re2Pd PBE optimized geometry
# **Total moment**: 0.00 μB/f.u.
data_Mg2Re2Pd
_space_group_name_H-M_alt 'P 1'
_space_group_IT_number 1
_space_group_name_Hall 'P 1'
_cell_length_a 3.488
_cell_length_b 3.488
_cell_length_c 8.138
_cell_angle_alpha 77.62
_cell_angle_beta 77.62
_cell_angle_gamma 90.00
loop_
_atom_site_label
_atom_site_type_symbol
_atom_site_fract_x
_atom_site_fract_y
_atom_site_fract_z
_atom_site_occupancy
Re1 Re 0.750 0.250 0.500 1
Re2 Re 0.250 0.750 0.500 1
Mg1 Mg 0.404 0.404 0.192 1
Mg2 Mg 0.596 0.596 0.808 1
Pd1 Pd 0.000 0.000 0.000 1


Which is most stable, and by how much? 2, by 256 meV per atom.


--- 1 ---
# Mg2RePd PBE optimized geometry
# **Total moment**: 0.52 μB/f.u.
data_Mg2RePd
_space_group_name_H-M_alt 'P 1'
_space_group_IT_number 1
_space_group_name_Hall 'P 1'
_cell_length_a 7.163
_cell_length_b 7.163
_cell_length_c 5.765
_cell_angle_alpha 51.59
_cell_angle_beta 51.59
_cell_angle_gamma 90.00
loop_
_atom_site_label
_atom_site_type_symbol
_atom_site_fract_x
_atom_site_fract_y
_atom_site_fract_z
_atom_site_occupancy
Re1 Re 0.000 0.000 0.000 1
Re2 Re 0.750 0.250 0.500 1
Mg1 Mg 0.606 0.125 0.250 1
Mg2 Mg 0.144 0.625 0.250 1
Mg3 Mg 0.375 0.394 0.750 1
Mg4 Mg 0.875 0.856 0.750 1
Pd1 Pd 0.500 0.500 0.000 1
Pd2 Pd 0.250 0.750 0.500 1


--- 2 ---
# Mg2RePd PBE optimized geometry
# **Total moment**: 1.63 μB/f.u.
data_Mg2RePd
_space_group_name_H-M_alt 'P 1'
_space_group_IT_number 1
_space_group_name_Hall 'P 1'
_cell_length_a 4.516
_cell_length_b 4.516
_cell_length_c 4.516
_cell_angle_alpha 60.00
_cell_angle_beta 60.00
_cell_angle_gamma 60.00
loop_
_atom_site_label
_atom_site_type_symbol
_atom_site_fract_x
_atom_site_fract_y
_atom_site_fract_z
_atom_site_occupancy
Re1 Re 0.500 0.500 0.500 1
Mg1 Mg 0.250 0.250 0.250 1
Mg2 Mg 0.750 0.750 0.750 1
Pd1 Pd 0.000 0.000 0.000 1


Which is most stable, and by how much? 2, by 331 meV per atom.


--- 1 ---
# MgPd2Rh2 PBE optimized geometry
# **Total moment**: 0.00 μB/f.u.
data_MgPd2Rh2
_space_group_name_H-M_alt 'P 1'
_space_group_IT_number 1
_space_group_name_Hall 'P 1'
_cell_length_a 7.490
_cell_length_b 7.490
_cell_length_c 2.911
_cell_angle_alpha 90.00
_cell_angle_beta 90.00
_cell_angle_gamma 90.00
loop_
_atom_site_label
_atom_site_type_symbol
_atom_site_fract_x
_atom_site_fract_y
_atom_site_fract_z
_atom_site_occupancy
Mg1 Mg 0.000 0.000 0.000 1
Mg2 Mg 0.500 0.500 0.000 1
Rh1 Rh 0.379 0.879 0.000 1
Rh2 Rh 0.879 0.621 0.000 1
Rh3 Rh 0.621 0.121 0.000 1
Rh4 Rh 0.121 0.379 0.000 1
Pd1 Pd 0.178 0.678 0.500 1
Pd2 Pd 0.678 0.822 0.500 1
Pd3 Pd 0.822 0.322 0.500 1
Pd4 Pd 0.322 0.178 0.500 1


--- 2 ---
# MgPd2Rh2 PBE optimized geometry
# **Total moment**: 0.00 μB/f.u.
data_MgPd2Rh2
_space_group_name_H-M_alt 'P 1'
_space_group_IT_number 1
_space_group_name_Hall 'P 1'
_cell_length_a 7.556
_cell_length_b 7.556
_cell_length_c 2.852
_cell_angle_alpha 90.00
_cell_angle_beta 90.00
_cell_angle_gamma 90.00
loop_
_atom_site_label
_atom_site_type_symbol
_atom_site_fract_x
_atom_site_fract_y
_atom_site_fract_z
_atom_site_occupancy
Mg1 Mg 0.000 0.000 0.000 1
Mg2 Mg 0.500 0.500 0.000 1
Rh1 Rh 0.172 0.672 0.500 1
Rh2 Rh 0.672 0.828 0.500 1
Rh3 Rh 0.828 0.328 0.500 1
Rh4 Rh 0.328 0.172 0.500 1
Pd1 Pd 0.373 0.873 0.000 1
Pd2 Pd 0.873 0.627 0.000 1
Pd3 Pd 0.627 0.127 0.000 1
Pd4 Pd 0.127 0.373 0.000 1


Which is most stable, and by how much? 1, by 21 meV per atom.


--- 1 ---
# Mg3PdRh2 PBE optimized geometry
# **Total moment**: 0.00 μB/f.u.
data_Mg3PdRh2
_space_group_name_H-M_alt 'P 1'
_space_group_IT_number 1
_space_group_name_Hall 'P 1'
_cell_length_a 3.142
_cell_length_b 3.142
_cell_length_c 9.386
_cell_angle_alpha 90.00
_cell_angle_beta 90.00
_cell_angle_gamma 90.00
loop_
_atom_site_label
_atom_site_type_symbol
_atom_site_fract_x
_atom_site_fract_y
_atom_site_fract_z
_atom_site_occupancy
Mg1 Mg 0.000 0.000 0.000 1
Mg2 Mg 0.000 0.000 0.674 1
Mg3 Mg 0.000 0.000 0.326 1
Pd1 Pd 0.500 0.500 0.500 1
Rh1 Rh 0.500 0.500 0.835 1
Rh2 Rh 0.500 0.500 0.165 1


--- 2 ---
# Mg3PdRh2 PBE optimized geometry
# **Total moment**: 0.00 μB/f.u.
data_Mg3PdRh2
_space_group_name_H-M_alt 'P 1'
_space_group_IT_number 1
_space_group_name_Hall 'P 1'
_cell_length_a 3.175
_cell_length_b 4.406
_cell_length_c 6.968
_cell_angle_alpha 108.43
_cell_angle_beta 90.00
_cell_angle_gamma 90.00
loop_
_atom_site_label
_atom_site_type_symbol
_atom_site_fract_x
_atom_site_fract_y
_atom_site_fract_z
_atom_site_occupancy
Mg1 Mg 0.500 0.500 0.000 1
Mg2 Mg 0.500 0.830 0.661 1
Mg3 Mg 0.500 0.170 0.339 1
Pd1 Pd 0.000 0.000 0.000 1
Rh1 Rh 0.000 0.335 0.670 1
Rh2 Rh 0.000 0.665 0.330 1


Which is most stable, and by how much? 2, by 8 meV per atom.


--- 1 ---
# MgPd3Ru PBE optimized geometry
# **Total moment**: 1.96 μB/f.u.
data_MgPd3Ru
_space_group_name_H-M_alt 'P 1'
_space_group_IT_number 1
_space_group_name_Hall 'P 1'
_cell_length_a 4.809
_cell_length_b 4.809
_cell_length_c 4.809
_cell_angle_alpha 90.00
_cell_angle_beta 90.00
_cell_angle_gamma 90.00
loop_
_atom_site_label
_atom_site_type_symbol
_atom_site_fract_x
_atom_site_fract_y
_atom_site_fract_z
_atom_site_occupancy
Ru1 Ru 0.000 0.000 0.000 1
Mg1 Mg 0.500 0.500 0.500 1
Pd1 Pd 0.000 0.500 0.000 1
Pd2 Pd 0.000 0.000 0.500 1
Pd3 Pd 0.500 0.000 0.000 1


--- 2 ---
# MgPd3Ru PBE optimized geometry
# **Total moment**: 2.92 μB/f.u.
data_MgPd3Ru
_space_group_name_H-M_alt 'P 1'
_space_group_IT_number 1
_space_group_name_Hall 'P 1'
_cell_length_a 4.541
_cell_length_b 4.541
_cell_length_c 4.541
_cell_angle_alpha 90.00
_cell_angle_beta 90.00
_cell_angle_gamma 90.00
loop_
_atom_site_label
_atom_site_type_symbol
_atom_site_fract_x
_atom_site_fract_y
_atom_site_fract_z
_atom_site_occupancy
Ru1 Ru 0.500 0.500 0.500 1
Mg1 Mg 0.000 0.000 0.000 1
Pd1 Pd 0.000 0.500 0.000 1
Pd2 Pd 0.000 0.000 0.500 1
Pd3 Pd 0.500 0.000 0.000 1


Which is most stable, and by how much? 1, by 96 meV per atom.